[1]
First-principles (GGA-PBEsol) data for La2SI after structural relaxation, as listed in Alexandria via LeMat-Bulk.

Cell lengths 5.254, 5.254, 5.254 Å; angles 60.00, 60.00, 60.00 degrees
Sites, in units of the cell vectors:
La 0.750 0.750 0.750
I 0.500 0.500 0.500
S 0.000 0.000 0.000
La 0.250 0.250 0.250

The density of states at the Fermi level is 2.276 states/eV per cell. The space group is Fm-3m, No. 225. Its theoretical density is 7.07 g/cm3. As for the crystal system: cubic. The formation energy from raw total energies is -1392 meV per atom.


[2]
First-principles (GGA-PBEsol) data for LiZnP2 after structural relaxation, as listed in Alexandria via LeMat-Bulk.

Cell lengths 2.818, 2.818, 7.395 Å; angles 90.00, 90.00, 100.61 degrees
Sites, in units of the cell vectors:
Li 0.500 0.500 0.000
P 0.000 0.000 0.747
Zn 0.500 0.500 0.500
P 0.000 0.000 0.253

The density of states at the Fermi level is 1.304 states/eV per cell. The calculation puts the formation energy from the elements at 0.0249 eV/atom. The space group is Cmmm, No. 65. Its theoretical density is 3.86 g/cm3. As for the crystal system: orthorhombic.


[3]
First-principles (GGA-PBEsol) data for KGe2P2 after structural relaxation, as listed in Alexandria via LeMat-Bulk.

Cell lengths 4.696, 4.696, 5.776 Å; angles 113.99, 113.99, 90.00 degrees
Sites, in units of the cell vectors:
Ge 0.654 0.654 0.307
Ge 0.346 0.346 0.693
P 0.250 0.750 0.500
P 0.750 0.250 0.500
K 0.000 0.000 0.000

The density of states at the Fermi level is 1.879 states/eV per cell. The calculation puts the formation energy from the elements at -0.0558 eV/atom. The space group is I4/mmm, No. 139. Its theoretical density is 3.92 g/cm3. As for the crystal system: tetragonal.


[4]
First-principles (GGA-PBEsol) data for LiBIO2 after structural relaxation, as listed in Alexandria via LeMat-Bulk.

Cell lengths 3.286, 3.286, 6.421 Å; angles 90.00, 90.00, 90.00 degrees
Sites, in units of the cell vectors:
Li 0.500 0.500 0.500
O 0.500 0.000 0.000
O 0.000 0.500 0.000
I 0.000 0.000 0.500
B 0.000 0.000 0.000

The density of states at the Fermi level is 1.746 states/eV per cell. The space group is P4/mmm, No. 123. Its theoretical density is 4.23 g/cm3. As for the crystal system: tetragonal. The formation energy from raw total energies is -384 meV per atom.


[5]
First-principles (GGA-PBEsol) data for SrCaCl2 after structural relaxation, as listed in Alexandria via LeMat-Bulk.

Cell lengths 4.634, 4.634, 8.136 Å; angles 73.45, 73.45, 60.00 degrees
Sites, in units of the cell vectors:
Sr 0.500 0.500 0.500
Cl 0.882 0.882 0.353
Ca 0.000 0.000 0.000
Cl 0.118 0.118 0.647

The density of states at the Fermi level is 1.504 states/eV per cell. The space group is R-3m, No. 166. Its theoretical density is 2.31 g/cm3. As for the crystal system: trigonal. The calculation puts the energy above the most stable polymorph in this dataset at 0.00 eV/f.u. The formation energy from raw total energies is -1663 meV per atom.


[6]
First-principles (GGA-PBEsol) data for NaTiS2 after structural relaxation, as listed in Alexandria via LeMat-Bulk.

Cell lengths 3.450, 3.450, 6.816 Å; angles 90.00, 90.00, 120.00 degrees
Sites, in units of the cell vectors:
Na 0.000 0.000 0.500
S 0.667 0.333 0.211
Ti 0.000 0.000 0.000
S 0.333 0.667 0.789

The density of states at the Fermi level is 2.190 states/eV per cell. The space group is P-3m1, No. 164. Its theoretical density is 3.19 g/cm3. As for the crystal system: trigonal. The formation energy from raw total energies is -1395 meV per atom.


| no. | total moment (μB/f.u.) |
| --- | --- |
| 1 | 0.0 |
| 2 | 0.0 |
| 3 | 0.0 |
| 4 | 0.0 |
| 5 | 0.0 |
| 6 | 0.0 |